Record 1
A relaxed structure of La4AsAuBr2, computed with GGA-PBE.

Cell and atoms, written as POSCAR:
```
La4AsAuBr2
1.0
7.559 0.000 0.000
0.000 4.333 0.000
-2.526 0.000 7.347
La As Au Br
4 1 1 2
direct
0.229 0.000 0.243
0.231 0.500 0.736
0.769 0.500 0.264
0.771 0.000 0.757
0.000 0.000 0.500
0.000 0.500 0.000
0.500 0.000 0.000
0.500 0.500 0.500
```

Crystal system = monoclinic
Formation energy from raw total energies = -1.285 eV per atom
Symmetry = No. 10

=====

Record 2
A relaxed structure of Ho2CdCu, computed with GGA-PBE.

Cell and atoms, written as POSCAR:
```
Ho2CdCu
1.0
3.491 0.000 0.000
0.000 3.491 0.000
0.000 0.000 7.630
Ho Cd Cu
2 1 1
direct
0.000 0.000 0.221
0.000 0.000 0.779
0.500 0.500 0.500
0.500 0.500 0.000
```

Crystal system = tetragonal
Formation enthalpy at 0 K = -0.28 eV/atom
Symmetry = No. 123
Relative energy among the computed polymorphs = 0 meV per atom

=====

Record 3
A relaxed structure of Tb6Tm3Tl, computed with GGA-PBE.

Cell and atoms, written as POSCAR:
```
Tb6Tm3Tl
1.0
12.664 0.000 0.000
0.000 3.491 0.000
-2.575 0.000 13.957
Tb Tm Tl
12 6 2
direct
0.011 0.250 0.309
0.157 0.250 0.883
0.252 0.750 0.306
0.271 0.750 0.714
0.308 0.750 0.073
0.385 0.250 0.532
0.615 0.750 0.468
0.692 0.250 0.927
0.729 0.250 0.286
0.748 0.250 0.694
0.843 0.750 0.117
0.989 0.750 0.691
0.078 0.250 0.096
0.128 0.750 0.501
0.426 0.250 0.898
0.574 0.750 0.102
0.872 0.250 0.499
0.922 0.750 0.904
0.468 0.250 0.275
0.532 0.750 0.725
```

Crystal system = monoclinic
Formation enthalpy at 0 K = 0.01 eV/atom
Symmetry = No. 11
Relative energy among the computed polymorphs = 0 meV per atom

=====

Record 4
A relaxed structure of TePbAuO6, computed with GGA-PBE.

Cell and atoms, written as POSCAR:
```
TePbAuO6
1.0
5.543 0.000 0.000
-2.771 4.800 0.000
0.000 0.000 9.438
Te Pb Au O
2 2 2 12
direct
0.333 0.667 0.250
0.667 0.333 0.750
0.333 0.667 0.750
0.667 0.333 0.250
0.000 0.000 0.000
0.000 0.000 0.500
0.031 0.374 0.133
0.031 0.658 0.367
0.342 0.374 0.367
0.342 0.969 0.133
0.374 0.031 0.633
0.374 0.342 0.867
0.626 0.658 0.133
0.626 0.969 0.367
0.658 0.031 0.867
0.658 0.626 0.633
0.969 0.342 0.633
0.969 0.626 0.867
```

Crystal system = trigonal
Formation energy from raw total energies = -0.543 eV per atom
Symmetry = No. 163

=====

Record 5
A relaxed structure of BSbBr2, computed with GGA-PBE.

Cell and atoms, written as POSCAR:
```
BSbBr2
1.0
1.733 1.001 10.214
-1.733 1.001 10.214
0.000 -2.002 10.214
B Sb Br
1 1 2
direct
0.000 0.000 0.000
0.500 0.500 0.500
0.059 0.059 0.059
0.941 0.941 0.941
```

Crystal system = trigonal
Formation energy from raw total energies = 0.591 eV per atom
Symmetry = No. 166
Relative energy among the computed polymorphs = 0 meV per atom

=====

Record 6
A relaxed structure of Os2Rh2C, computed with GGA-PBE.

Cell and atoms, written as POSCAR:
```
Os2Rh2C
1.0
-1.735 1.735 6.467
1.735 -1.735 6.467
1.735 1.735 -6.467
Os Rh C
2 2 1
direct
0.250 0.750 0.500
0.750 0.250 0.500
0.096 0.096 0.000
0.904 0.904 0.000
0.500 0.500 0.000
```

Crystal system = tetragonal
Formation enthalpy at 0 K = 1.60 eV/atom
Symmetry = No. 139
Relative energy among the computed polymorphs = 12 meV per atom

=====

Record 7
A relaxed structure of PaNiPdPt, computed with GGA-PBE.

Cell and atoms, written as POSCAR:
```
PaNiPdPt
1.0
0.000 3.282 3.282
3.282 0.000 3.282
3.282 3.282 0.000
Pa Ni Pd Pt
1 1 1 1
direct
0.000 0.000 0.000
0.250 0.250 0.250
0.500 0.500 0.500
0.750 0.750 0.750
```

Crystal system = cubic
Formation enthalpy at 0 K = -0.53 eV/atom
Symmetry = No. 216

=====

Record 8
A relaxed structure of PmB3Ir, computed with GGA-PBE.

Cell and atoms, written as POSCAR:
```
PmB3Ir
1.0
1.769 -7.125 0.000
1.769 7.125 0.000
0.000 0.000 4.942
Pm B Ir
2 6 2
direct
0.092 0.908 0.750
0.908 0.092 0.250
0.183 0.817 0.250
0.280 0.720 0.039
0.280 0.720 0.461
0.720 0.280 0.539
0.720 0.280 0.961
0.817 0.183 0.750
0.404 0.596 0.750
0.596 0.404 0.250
```

Crystal system = orthorhombic
Formation enthalpy at 0 K = -0.08 eV/atom
Symmetry = No. 63

=====

Record 9
A relaxed structure of CsRuSe2, computed with GGA-PBE.

Cell and atoms, written as POSCAR:
```
CsRuSe2
1.0
1.983 1.145 8.872
-1.983 1.145 8.872
0.000 -2.290 8.872
Cs Ru Se
1 1 2
direct
0.000 0.000 0.000
0.500 0.500 0.500
0.124 0.124 0.124
0.876 0.876 0.876
```

Crystal system = trigonal
Formation energy from raw total energies = -0.193 eV per atom
Symmetry = No. 166
Relative energy among the computed polymorphs = 301 meV per atom

=====

Record 10
A relaxed structure of MgMnSe2, computed with GGA-PBE.

Cell and atoms, written as POSCAR:
```
MgMnSe2
1.0
3.740 0.000 0.000
0.000 1.866 7.259
0.000 -1.866 7.259
Mg Mn Se
1 1 2
direct
0.000 0.000 0.000
0.500 0.649 0.649
0.000 0.183 0.183
0.500 0.468 0.468
```

Crystal system = orthorhombic
Formation energy from raw total energies = -0.718 eV per atom
Symmetry = No. 38

=====

Record 11
A relaxed structure of Ni2RuAuC, computed with GGA-PBE.

Cell and atoms, written as POSCAR:
```
Ni2RuAuC
1.0
3.907 0.000 0.000
0.000 3.907 0.000
0.000 0.000 3.991
Ni Ru Au C
2 1 1 1
direct
0.000 0.500 0.000
0.500 0.000 0.000
0.000 0.000 0.500
0.500 0.500 0.500
0.000 0.000 0.000
```

Crystal system = tetragonal
Formation enthalpy at 0 K = 0.21 eV/atom
Symmetry = No. 123

=====

Record 12
A relaxed structure of BC2, computed with GGA-PBE.

Cell and atoms, written as POSCAR:
```
BC2
1.0
2.531 0.000 0.000
-1.265 2.192 0.000
0.000 0.000 6.809
B C
2 4
direct
0.333 0.667 0.422
0.667 0.333 0.578
0.000 0.000 0.114
0.000 0.000 0.886
0.333 0.667 0.191
0.667 0.333 0.809
```

Crystal system = trigonal
Formation enthalpy at 0 K = 0.28 eV/atom
Symmetry = No. 164
Relative energy among the computed polymorphs = 44 meV per atom